Computed, not measured: a relaxed Gd2CuIr crystal at the GGA-PBE level of DFT.

Unit cell a=4.8816 b=4.8816 c=3.5370 alpha=90.00 beta=90.00 gamma=90.00
Last column: nearest neighbours and their distance in Å.
Positions (direct):
Gd  0.0000  0.5000  0.0000  4 Cu 3.01, 4 Ir 3.01
Gd  0.5000  0.0000  0.0000  4 Cu 3.01, 4 Ir 3.01
Cu  0.0000  0.0000  0.5000  8 Gd 3.01
Ir  0.5000  0.5000  0.5000  8 Gd 3.01

Results
Spin magnetization: 14.30 μB per formula unit
Fermi-level density of states: 2.8 states/eV per cell
Space-group type: P4/mmm
Energy of formation from the pure elements: -512 meV per atom
V: 21.1 Å³ per atom

Computed, not measured: a relaxed Zr6FeBi3 crystal at the GGA-PBE level of DFT.

Unit cell a=8.4791 b=5.2148 c=10.9352 alpha=90.00 beta=110.99 gamma=90.00
Last column: nearest neighbours and their distance in Å.
Positions (direct):
Zr  0.0254  0.2500  0.4038  7 Bi 3.09-3.29, 2 Zr 3.16-3.42
Zr  0.1396  0.7500  0.1917  1 Fe 3.02, 5 Bi 3.04-3.12, 4 Zr 3.11-3.32
Zr  0.2612  0.2500  0.0085  3 Zr 2.96-3.32, 3 Fe 2.99-3.19, 4 Bi 3.05-3.19
Zr  0.3363  0.2500  0.3090  8 Zr 3.04-3.34, 2 Bi 3.21-3.27
Zr  0.3768  0.7500  0.8220  3 Fe 2.91-3.01, 2 Zr 2.96-3.23, 3 Bi 3.13-3.15
Zr  0.4660  0.2500  0.6358  1 Fe 2.70, 1 Bi 2.96
Zr  0.5340  0.7500  0.3642  1 Fe 2.70, 1 Bi 2.96
Zr  0.6232  0.2500  0.1780  3 Fe 2.91-3.01, 2 Zr 2.96-3.23, 3 Bi 3.13-3.15
Zr  0.6637  0.7500  0.6910  8 Zr 3.04-3.34, 2 Bi 3.21-3.27
Zr  0.7388  0.7500  0.9915  3 Zr 2.96-3.32, 3 Fe 2.99-3.19, 4 Bi 3.05-3.19
Zr  0.8604  0.2500  0.8083  1 Fe 3.02, 5 Bi 3.04-3.12, 4 Zr 3.11-3.32
Zr  0.9746  0.7500  0.5962  7 Bi 3.09-3.29, 2 Zr 3.16-3.42
Fe  0.4366  0.7500  0.1008  7 Zr 2.70-3.02
Fe  0.5634  0.2500  0.8992  7 Zr 2.70-3.02
Bi  0.0534  0.7500  0.8972  9 Zr 3.04-3.27, 1 Fe 3.21
Bi  0.1642  0.2500  0.7116  8 Zr 2.96-3.15, 1 Fe 3.27
Bi  0.2765  0.7500  0.4975  9 Zr 3.03-3.34
Bi  0.7235  0.2500  0.5025  9 Zr 3.03-3.34
Bi  0.8358  0.7500  0.2884  8 Zr 2.96-3.15, 1 Fe 3.27
Bi  0.9466  0.2500  0.1028  9 Zr 3.04-3.27, 1 Fe 3.21

Results
Spin magnetization: 2.20 μB per formula unit
Fermi-level density of states: 16.9 states/eV per cell
Space-group type: P2_1/m
Energy of formation from the pure elements: -159 meV per atom
V: 22.6 Å³ per atom

Computed, not measured: a relaxed NdGa3Pd3 crystal at the GGA-PBE level of DFT.

Unit cell a=6.8021 b=6.8021 c=6.8021 alpha=90.00 beta=90.00 gamma=90.00
Last column: nearest neighbours and their distance in Å.
Positions (direct):
Nd  0.0000  0.0000  0.0000  12 Pd 3.80, 12 Ga 3.80
Nd  0.5000  0.5000  0.5000  12 Pd 3.80, 12 Ga 3.80
Ga  0.0000  0.2500  0.5000  4 Pd 2.40
Ga  0.0000  0.7500  0.5000  4 Pd 2.40
Ga  0.2500  0.5000  0.0000  4 Pd 2.40
Ga  0.5000  0.0000  0.2500  4 Pd 2.40
Ga  0.5000  0.0000  0.7500  4 Pd 2.40
Ga  0.7500  0.5000  0.0000  4 Pd 2.40
Pd  0.0000  0.5000  0.2500  4 Ga 2.40
Pd  0.0000  0.5000  0.7500  4 Ga 2.40
Pd  0.2500  0.0000  0.5000  4 Ga 2.40
Pd  0.5000  0.2500  0.0000  4 Ga 2.40
Pd  0.5000  0.7500  0.0000  4 Ga 2.40
Pd  0.7500  0.0000  0.5000  4 Ga 2.40

Results
Spin magnetization: 0.00 μB per formula unit
Fermi-level density of states: 9.6 states/eV per cell
Space-group type: Pm-3n
Energy of formation from the pure elements: -353 meV per atom
V: 22.5 Å³ per atom
ΔE to the lowest computed polymorph: 351.0 meV per atom

V of number 2 (Zr6FeBi3)? 22.6 Å³ per atom

V of number 2 (Zr6FeBi3)? 22.6 Å³ per atom

Among the records above, which one has the lowest Fermi-level density of states? Gd2CuIr

The lowest energy of formation from the pure elements belongs to which entry? Gd2CuIr